Density functional theory data (PBE+U) for a geometry-optimized NiIrI2O structure.

Total moment in μB per formula unit: 1.7
Fermi-level density of states in states/eV per atom: 0.919
V in A^3/atom: 19.5
E above lowest polymorph in meV/atom: 128

Cell: 5.3187 5.3187 3.4535 Å, 90.00 90.00 90.00°
Closest atoms and distances in Å follow each position.
Space group P4/mmm (No. 123)
Symmetry-distinct sites (fractional):
Ni1 0.0000 0.0000 0.0000 (multiplicity 1)  2 O 1.73
Ir1 0.5000 0.5000 0.5000 (multiplicity 1)  8 I 3.17, 2 Ir 3.45
I1 0.0000 0.5000 0.0000 (multiplicity 2)  2 Ni 2.66
O1 0.0000 0.0000 0.5000 (multiplicity 1)  2 Ni 1.73